This record from the Alexandria database describes a relaxed Na2VZnMo crystal. The functional is PBE.

Summary:
DOS at the Fermi energy: 4.574 states/eV per cell
Electronic total energy: -3.428 eV/atom
Energy of formation from the pure elements: 1345 meV/atom
M_tot: 0.00 Bohr magnetons per cell

```
Na2VZnMo
1.0
5.752 0.000 0.000
0.000 5.752 0.000
0.000 0.000 4.321
Na V Zn Mo
2 1 1 1
direct
0.000 0.500 0.000
0.500 0.000 0.000
0.000 0.000 0.500
0.500 0.500 0.500
0.000 0.000 0.000
```